# 1
First-principles (PBEsol) data for an optimized crystal structure of AgP2Se, as listed in the Alexandria database.

Cell: 5.750 5.750 4.165 Å, 109.72 109.72 34.69°
Sites, in units of the cell vectors:
1 Ag 0.000 0.000 0.000
2 P 0.247 0.247 0.323
3 P 0.753 0.753 0.677
4 Se 0.500 0.500 0.500

Output
Spin magnetization in μB per cell: 0.00
Formation energy from raw total energies in eV per atom: 0.060
Raw total energy in eV per atom: -4.63

# 2
First-principles (PBEsol) data for an optimized crystal structure of HfMgOs3, as listed in the Alexandria database.

Cell: 4.401 4.401 4.401 Å, 90.00 90.00 90.00°
Sites, in units of the cell vectors:
1 Hf 0.000 0.000 0.000
2 Mg 0.500 0.500 0.500
3 Os 0.000 0.500 0.500
4 Os 0.500 0.000 0.500
5 Os 0.500 0.500 0.000

Output
ΔE_f in eV/atom: 1.631
Spin magnetization in μB per cell: 0.00
Raw total energy in eV per atom: -8.14

# 3
First-principles (PBEsol) data for an optimized crystal structure of LaMgCr, as listed in the Alexandria database.

Cell: 4.857 4.857 4.857 Å, 60.00 60.00 60.00°
Sites, in units of the cell vectors:
1 La 0.000 0.000 0.000
2 Mg 0.500 0.500 0.500
3 Cr 0.750 0.750 0.750

Output
ΔE_f in eV/atom: 0.627
Distance to the lowest polymorph of the same formula in eV per formula unit: 0.50
Spin magnetization in μB per cell: 3.51
Raw total energy in eV per atom: -5.14

# 4
First-principles (PBEsol) data for an optimized crystal structure of RbGe3Mo, as listed in the Alexandria database.

Cell: 5.235 5.235 5.235 Å, 90.00 90.00 90.00°
Sites, in units of the cell vectors:
1 Rb 0.000 0.000 0.000
2 Ge 0.000 0.000 0.500
3 Ge 0.000 0.500 0.000
4 Ge 0.500 0.000 0.000
5 Mo 0.500 0.500 0.500

Output
ΔE_f in eV/atom: 2.457
Spin magnetization in μB per cell: 3.48
Raw total energy in eV per atom: -3.06

# 5
First-principles (PBEsol) data for an optimized crystal structure of In2FeHg, as listed in the Alexandria database.

Cell: 9.217 9.217 9.217 Å, 19.82 19.82 19.82°
Sites, in units of the cell vectors:
1 In 0.240 0.240 0.240
2 In 0.760 0.760 0.760
3 Fe 0.500 0.500 0.500
4 Hg 0.000 0.000 0.000

Output
ΔE_f in eV/atom: 0.254
Spin magnetization in μB per cell: 2.28
Raw total energy in eV per atom: -3.62

# 6
First-principles (PBEsol) data for an optimized crystal structure of Re3P, as listed in the Alexandria database.

Cell: 4.928 4.928 4.928 Å, 116.48 116.48 116.48°
Sites, in units of the cell vectors:
1 Re 0.000 0.500 0.500
2 Re 0.500 0.000 0.500
3 Re 0.500 0.500 0.000
4 P 0.000 0.000 0.000

Output
ΔE_f in eV/atom: 0.422
Distance to the lowest polymorph of the same formula in eV per formula unit: 2.34
Spin magnetization in μB per cell: 0.00
Raw total energy in eV per atom: -11.02